Entry 1:
# Ba4Bi2Sb2Pb GGA-PBE optimized geometry
data_Ba4Bi2Sb2Pb
_chemical_formula_sum 'Ba8 Bi4 Sb4 Pb2'
_cell_length_a 15.1655
_cell_length_b 10.0755
_cell_length_c 4.8860
_cell_angle_alpha 90.00
_cell_angle_beta 92.82
_cell_angle_gamma 90.00
_symmetry_space_group_name_H-M 'C 1 2/m 1'
_symmetry_Int_Tables_number 12
_symmetry_space_group_name_Hall '-C 2y'
loop_
_atom_site_label
_atom_site_type_symbol
_atom_site_fract_x
_atom_site_fract_y
_atom_site_fract_z
Ba1 Ba 0.1324 0.2420 0.2185
Bi1 Bi 0.0724 0.5000 0.7406
Sb1 Sb 0.2078 0.0000 0.7171
Pb1 Pb 0.0000 0.0000 0.5000
# Energy relative to the elements, uncorrected   -0.67 eV/atom
# Calculated volume   746 Å³/cell

=====

Entry 2:
# BaBiSbPb GGA-PBE optimized geometry
data_BaBiSbPb
_chemical_formula_sum 'Ba2 Bi2 Sb2 Pb2'
_cell_length_a 14.9372
_cell_length_b 4.6594
_cell_length_c 4.9998
_cell_angle_alpha 90.00
_cell_angle_beta 109.37
_cell_angle_gamma 90.00
_symmetry_space_group_name_H-M 'C 1 m 1'
_symmetry_Int_Tables_number 8
_symmetry_space_group_name_Hall 'C -2y'
loop_
_atom_site_label
_atom_site_type_symbol
_atom_site_fract_x
_atom_site_fract_y
_atom_site_fract_z
Ba1 Ba 0.0000 0.0000 0.0000
Bi1 Bi 0.1248 0.5000 0.6239
Sb1 Sb 0.4074 0.0000 0.4088
Pb1 Pb 0.2629 0.5000 0.2612
# Energy relative to the elements, uncorrected   -0.42 eV/atom
# Calculated volume   328 Å³/cell

=====

Entry 3:
# Ba2BiPbSe5 GGA-PBE optimized geometry
data_Ba2BiPbSe5
_chemical_formula_sum 'Ba8 Bi4 Pb4 Se20'
_cell_length_a 4.5085
_cell_length_b 19.2517
_cell_length_c 13.4339
_cell_angle_alpha 90.00
_cell_angle_beta 90.00
_cell_angle_gamma 90.00
_symmetry_space_group_name_H-M 'C m c 21'
_symmetry_Int_Tables_number 36
_symmetry_space_group_name_Hall 'C 2c -2'
loop_
_atom_site_label
_atom_site_type_symbol
_atom_site_fract_x
_atom_site_fract_y
_atom_site_fract_z
Ba1 Ba 0.0000 0.1121 0.0000
Ba2 Ba 0.0000 0.1338 0.6259
Bi1 Bi 0.0000 0.2173 0.3369
Pb1 Pb 0.0000 0.4492 0.7693
Se1 Se 0.0000 0.0512 0.3949
Se2 Se 0.0000 0.2815 0.9794
Se3 Se 0.0000 0.3124 0.6833
Se4 Se 0.0000 0.3611 0.3151
Se5 Se 0.0000 0.4925 0.0802
# Energy relative to the elements, uncorrected   -1.11 eV/atom
# Calculated volume   1166 Å³/cell

=====

Question: Look up the energy relative to the elements, uncorrected of the third one.
Answer: -1.11 eV/atom

=====

Question: What is the energy relative to the elements, uncorrected in the first record?
Answer: -0.67 eV/atom

=====

Question: Which formula does entry 3 have?
Answer: Ba2BiPbSe5